This record from the Alexandria database describes crystalline Cu2BiI4 at its relaxed geometry. The functional is GGA-PBE.

Lattice parameters (Å, degrees): 7.122 7.122 7.122 103.58 103.58 122.02
Each line ends with the local moment (μB).
Element x y z (fractional)
I (0.175, 0.644, 0.819)  0.01
I (0.356, 0.175, 0.531)  0.01
Cu (0.750, 0.250, 0.500)  0.02
I (0.644, 0.825, 0.469)  0.01
Bi (0.500, 0.500, 0.000)  0.54
Cu (0.250, 0.750, 0.500)  0.02
I (0.825, 0.356, 0.181)  0.01

## Properties
Energy, eV per atom: -2.746

=====

This record from the Alexandria database describes crystalline HgRh4Br at its relaxed geometry. The functional is GGA-PBE.

Lattice parameters (Å, degrees): 5.292 5.292 5.292 60.00 60.00 60.00
Each line ends with the local moment (μB).
Element x y z (fractional)
Br (0.750, 0.750, 0.750)  0.11
Rh (0.376, 0.376, 0.873)  0.44
Rh (0.376, 0.873, 0.376)  0.44
Rh (0.376, 0.376, 0.376)  0.44
Rh (0.873, 0.376, 0.376)  0.44
Hg (0.000, 0.000, 0.000)  -0.01

## Properties
Energy, eV per atom: -4.574
D(E_F), states/eV/atom: 1.776

=====

This record from the Alexandria database describes crystalline Re3NiHg at its relaxed geometry. The functional is GGA-PBE.

Lattice parameters (Å, degrees): 4.853 4.853 4.853 90.00 90.00 90.00
Each line ends with the local moment (μB).
Element x y z (fractional)
Re (0.500, 0.000, 0.000)  0.15
Re (0.000, 0.500, 0.000)  0.14
Ni (0.500, 0.500, 0.500)  0.62
Re (0.000, 0.000, 0.500)  0.52
Hg (0.000, 0.000, 0.000)  0.03

## Properties
Energy above the lowest structure with this stoichiometry, meV/atom: 1781
D(E_F), states/eV/atom: 1.386